No. 1
VASP calculation (GGA-PBE) on an optimized crystal structure of CrSb.

M_tot, μB per formula unit: 2.82
Total DFT energy (no corrections), eV/atom: -6.787
Raw formation energy, eV/f.u.: 0.2

Structure (CIF):
```
data_CrSb
_cell_length_a 4.0192
_cell_length_b 4.0192
_cell_length_c 5.8689
_cell_angle_alpha 90.00
_cell_angle_beta 90.00
_cell_angle_gamma 120.00
_symmetry_space_group_name_H-M 'P 63/m m c'
_symmetry_Int_Tables_number 194
_symmetry_space_group_name_Hall '-P 6c 2c'
loop_
_atom_site_label
_atom_site_fract_x
_atom_site_fract_y
_atom_site_fract_z
Cr1 0.0000 0.0000 0.0000
Sb1 0.3333 0.6667 0.2500
```

No. 2
VASP calculation (GGA-PBE) on an optimized crystal structure of LiB4C4.

M_tot, μB per formula unit: 0.00
Total DFT energy (no corrections), eV/atom: -7.088
Calculated formation energy, meV/atom: 192
Energy relative to the lowest polymorph listed for this composition, eV/atom: 0.103

Structure (CIF):
```
data_LiB4C4
_cell_length_a 2.735
_cell_length_b 22.811
_cell_length_c 4.723
_cell_angle_alpha 90.00
_cell_angle_beta 90.00
_cell_angle_gamma 90.00
_symmetry_space_group_name_H-M 'I m m 2'
_symmetry_Int_Tables_number 44
loop_
_symmetry_equiv_pos_as_xyz
'x,y,z'
'-x,-y,z'
'-x,y,z'
'x,-y,z'
'x+1/2,y+1/2,z+1/2'
'-x+1/2,-y+1/2,z+1/2'
'-x+1/2,y+1/2,z+1/2'
'x+1/2,-y+1/2,z+1/2'
loop_
_atom_site_label
_atom_site_fract_x
_atom_site_fract_y
_atom_site_fract_z
Li1 0.000 0.175 0.000
B1 0.000 0.000 0.185
B2 0.000 0.094 0.661
B3 0.000 0.246 0.360
B4 0.000 0.409 0.662
B5 0.000 0.500 0.186
C1 0.000 0.000 0.516
C2 0.000 0.090 0.330
C3 0.000 0.254 0.693
C4 0.000 0.404 0.330
C5 0.000 0.500 0.515
```

No. 3
VASP calculation (GGA-PBE) on an optimized crystal structure of BeZnAg.

M_tot, μB per formula unit: 0.00
Total DFT energy (no corrections), eV/atom: -2.513
Calculated formation energy, meV/atom: 104
Energy relative to the lowest polymorph listed for this composition, eV/atom: 0.054

Structure (CIF):
```
data_BeZnAg
_cell_length_a 3.914
_cell_length_b 3.875
_cell_length_c 5.683
_cell_angle_alpha 90.00
_cell_angle_beta 110.17
_cell_angle_gamma 90.00
_symmetry_space_group_name_H-M 'P 1 2/m 1'
_symmetry_Int_Tables_number 10
loop_
_symmetry_equiv_pos_as_xyz
'x,y,z'
'-x,-y,-z'
'-x,y,-z'
'x,-y,z'
loop_
_atom_site_label
_atom_site_fract_x
_atom_site_fract_y
_atom_site_fract_z
Be1 0.000 0.000 0.000
Be2 0.500 0.500 0.000
Zn1 0.151 0.500 0.299
Ag1 0.352 0.000 0.706
```

No. 4
VASP calculation (GGA-PBE) on an optimized crystal structure of HfTe2I4.

M_tot, μB per formula unit: 1.24
Total DFT energy (no corrections), eV/atom: -3.075
Energy relative to the lowest polymorph listed for this composition, eV/atom: 0.621
Raw formation energy, eV/f.u.: 0.9

Structure (CIF):
```
data_HfTe2I4
_cell_length_a 5.705
_cell_length_b 5.705
_cell_length_c 16.935
_cell_angle_alpha 90.00
_cell_angle_beta 90.00
_cell_angle_gamma 90.00
_symmetry_space_group_name_H-M 'I 4/m m m'
_symmetry_Int_Tables_number 139
_symmetry_space_group_name_Hall '-I 4 2'
loop_
_atom_site_label
_atom_site_fract_x
_atom_site_fract_y
_atom_site_fract_z
Hf1 0.000 0.000 0.000
Te1 0.000 0.000 0.338
I1 0.000 0.000 0.169
I2 0.000 0.500 0.000
```

No. 5
VASP calculation (GGA-PBE) on an optimized crystal structure of Cs2Pu3Se8.

M_tot, μB per formula unit: 3.22
Total DFT energy (no corrections), eV/atom: -6.677
Raw formation energy, eV/f.u.: -14.2

Structure (CIF):
```
data_Cs2Pu3Se8
_cell_length_a 17.371
_cell_length_b 8.382
_cell_length_c 7.311
_cell_angle_alpha 90.00
_cell_angle_beta 106.72
_cell_angle_gamma 90.00
_symmetry_space_group_name_H-M 'C 1 2/m 1'
_symmetry_Int_Tables_number 12
loop_
_symmetry_equiv_pos_as_xyz
'x,y,z'
'-x,-y,-z'
'-x,y,-z'
'x,-y,z'
'x+1/2,y+1/2,z'
'-x+1/2,-y+1/2,-z'
'-x+1/2,y+1/2,-z'
'x+1/2,-y+1/2,z'
loop_
_atom_site_label
_atom_site_fract_x
_atom_site_fract_y
_atom_site_fract_z
Cs1 0.235 0.000 0.179
Pu1 0.000 0.247 0.500
Pu2 0.000 0.500 0.000
Se1 0.088 0.270 0.880
Se2 0.090 0.500 0.394
Se3 0.099 0.000 0.471
```

No. 6
VASP calculation (GGA-PBE) on an optimized crystal structure of LaP2WS.

M_tot, μB per formula unit: 2.19
Total DFT energy (no corrections), eV/atom: -5.015
Energy relative to the lowest polymorph listed for this composition, eV/atom: 2.112
Raw formation energy, eV/f.u.: 7.8

Structure (CIF):
```
data_LaP2WS
_cell_length_a 5.386
_cell_length_b 5.386
_cell_length_c 5.305
_cell_angle_alpha 90.00
_cell_angle_beta 90.00
_cell_angle_gamma 90.00
_symmetry_space_group_name_H-M 'P 4/m m m'
_symmetry_Int_Tables_number 123
_symmetry_space_group_name_Hall '-P 4 2'
loop_
_atom_site_label
_atom_site_fract_x
_atom_site_fract_y
_atom_site_fract_z
La1 0.000 0.000 0.000
P1 0.000 0.500 0.000
W1 0.500 0.500 0.500
S1 0.000 0.000 0.500
```